Record 1
Here is a geometry-optimized LiErPuGa structure from Alexandria via LeMat-Bulk. Energies are from PBE.

As for the volume: 23.0 A^3/atom. The density of states at the Fermi level comes out at 5.77 states/eV/f.u. As for the formation energy: -0.11 eV per atom. Its symmetry is F-43m.

```
LiErPuGa
1.0
0.000 3.582 3.582
3.582 0.000 3.582
3.582 3.582 0.000
Li Er Pu Ga
1 1 1 1
direct
0.000 0.000 0.000
0.750 0.750 0.750
0.250 0.250 0.250
0.500 0.500 0.500
```

Record 2
Here is a geometry-optimized LiErGa4Rh2 structure from Alexandria via LeMat-Bulk. Energies are from PBE.

As for the volume: 16.2 A^3/atom. The density of states at the Fermi level comes out at 3.49 states/eV/f.u. As for the formation energy: -0.62 eV per atom. Its symmetry is R-3m.

```
LiErGa4Rh2
1.0
2.136 1.233 8.225
-2.136 1.233 8.225
0.000 -2.466 8.225
Li Er Ga Rh
1 1 4 2
direct
0.000 0.000 0.000
0.500 0.500 0.500
0.103 0.103 0.103
0.369 0.369 0.369
0.631 0.631 0.631
0.897 0.897 0.897
0.262 0.262 0.262
0.738 0.738 0.738
```

Record 3
Here is a geometry-optimized LiErGaRh structure from Alexandria via LeMat-Bulk. Energies are from PBE.

As for the volume: 17.0 A^3/atom. The density of states at the Fermi level comes out at 3.69 states/eV/f.u. As for the formation energy: -0.59 eV per atom. Its symmetry is F-43m.

```
LiErGaRh
1.0
0.000 3.242 3.242
3.242 0.000 3.242
3.242 3.242 0.000
Li Er Ga Rh
1 1 1 1
direct
0.000 0.000 0.000
0.250 0.250 0.250
0.750 0.750 0.750
0.500 0.500 0.500
```